No. 1
Here is an optimized crystal structure of GaGe2Rh from the Alexandria database. Energies are from GGA-PBE.

Summary:
- Size of the total moment: 0.0 μB/cell
- Mass density: 7.78 g/cm³
- E_form: -0.286 eV/atom

abc: 3.899 4.772 7.993
angles: 90.00 90.00 114.08
Fractional positions:
Ga 0.919 0.838 0.250
Ga 0.081 0.162 0.750
Ge 0.359 0.717 0.542
Ge 0.641 0.283 0.458
Ge 0.359 0.717 0.958
Ge 0.641 0.283 0.042
Rh 0.790 0.580 0.750
Rh 0.210 0.420 0.250

***

No. 2
Here is an optimized crystal structure of Cs3DyP2O8 from the Alexandria database. Energies are from GGA-PBE.

Summary:
- Size of the total moment: 0.0 μB/cell
- Mass density: 4.88 g/cm³
- Formation energy from raw total energies: -35.8 eV per formula unit

abc: 5.817 5.817 8.722
angles: 90.00 90.00 120.00
Fractional positions:
Cs 0.333 0.667 0.772
Cs 0.667 0.333 0.228
Cs 0.000 0.000 0.000
Dy 0.000 0.000 0.500
P 0.333 0.667 0.293
P 0.667 0.333 0.707
O 0.333 0.667 0.117
O 0.667 0.333 0.883
O 0.187 0.813 0.353
O 0.813 0.187 0.647
O 0.187 0.374 0.353
O 0.813 0.626 0.647
O 0.626 0.813 0.353
O 0.374 0.187 0.647

***

No. 3
Here is an optimized crystal structure of TmAl3ZnAu from the Alexandria database. Energies are from GGA-PBE.

Summary:
- Size of the total moment: 0.0 μB/cell
- Mass density: 7.25 g/cm³
- E_form: -0.199 eV/atom

abc: 5.640 6.644 7.088
angles: 117.95 90.00 90.00
Fractional positions:
Tm 0.750 0.295 0.590
Tm 0.250 0.705 0.410
Al 0.250 0.139 0.278
Al 0.000 0.298 0.000
Al 0.500 0.702 0.000
Al 0.500 0.298 0.000
Al 0.000 0.702 0.000
Al 0.750 0.861 0.722
Zn 0.250 0.924 0.847
Zn 0.750 0.076 0.153
Au 0.250 0.347 0.694
Au 0.750 0.653 0.306

***

No. 4
Here is an optimized crystal structure of CaP2SN from the Alexandria database. Energies are from GGA-PBE.

Summary:
- Offset from the most stable computed form: 1511 meV/atom
- Size of the total moment: 1.9 μB/cell
- Mass density: 1.59 g/cm³
- Formation energy from raw total energies: 9.2 eV per formula unit

abc: 5.444 5.444 5.222
angles: 90.00 90.00 90.00
Fractional positions:
P 0.000 0.500 0.000
P 0.500 0.000 0.000
Ca 0.000 0.000 0.000
S 0.000 0.000 0.500
N 0.500 0.500 0.500

***

No. 5
Here is an optimized crystal structure of CaHo2Ga6 from the Alexandria database. Energies are from GGA-PBE.

Summary:
- Offset from the most stable computed form: 89 meV/atom
- Size of the total moment: 0.0 μB/cell
- Mass density: 6.43 g/cm³
- E_form: -0.477 eV/atom

abc: 4.376 7.102 7.764
angles: 117.22 106.37 90.00
Fractional positions:
Ca 0.000 0.500 0.000
Ho 0.875 0.875 0.750
Ho 0.125 0.125 0.250
Ga 0.686 0.880 0.372
Ga 0.314 0.120 0.628
Ga 0.314 0.508 0.628
Ga 0.500 0.184 0.000
Ga 0.500 0.816 0.000
Ga 0.686 0.492 0.372

***

No. 6
Here is an optimized crystal structure of HoPS4Br from the Alexandria database. Energies are from GGA-PBE.

Summary:
- Size of the total moment: 0.0 μB/cell
- Mass density: 3.31 g/cm³
- Formation energy from raw total energies: -5.2 eV per formula unit

abc: 6.875 6.875 8.838
angles: 83.94 83.94 78.80
Fractional positions:
Ho 0.194 0.194 0.940
Ho 0.806 0.806 0.060
P 0.608 0.608 0.761
P 0.392 0.392 0.239
S 0.309 0.309 0.456
S 0.691 0.691 0.544
S 0.154 0.510 0.108
S 0.576 0.576 0.275
S 0.490 0.846 0.892
S 0.510 0.154 0.108
S 0.424 0.424 0.725
S 0.846 0.490 0.892
Br 0.019 0.019 0.212
Br 0.981 0.981 0.788